one:
CdPN2: optimized geometry, GGA-PBE.

Cell: 3.6675 3.6675 16.4417 Å, 90.00 90.00 120.00°
Space group R-3m (No. 166, hexagonal axes)
Unique sites:
Cd (0.0000, 0.0000, 0.0000) (multiplicity 3)
P (0.0000, 0.0000, 0.5000) (multiplicity 3)
N (0.0000, 0.0000, 0.4051) (multiplicity 6)


two:
CdPN2: optimized geometry, GGA-PBE.

Cell: 2.7834 2.7834 20.1355 Å, 90.00 90.00 120.00°
Space group R-3m (No. 166, hexagonal axes)
Unique sites:
Cd (0.0000, 0.0000, 0.0000) (multiplicity 3)
P (0.0000, 0.0000, 0.5000) (multiplicity 3)
N (0.0000, 0.0000, 0.1210) (multiplicity 6)


Bottom line: two, by a margin of 35.9 kJ/mol of atoms.


one:
CdPN2: optimized geometry, GGA-PBE.

Cell: 5.719 5.719 5.719 Å, 90.00 90.00 90.00°
Space group Fm-3m (No. 225)
Unique sites:
Cd (0.000, 0.000, 0.000) (multiplicity 4)
P (0.000, 0.000, 0.500) (multiplicity 4)
N (0.250, 0.250, 0.250) (multiplicity 8)


two:
CdPN2: optimized geometry, GGA-PBE.

Cell: 5.132 5.132 7.529 Å, 90.00 90.00 90.00°
Space group I-42d (No. 122)
Unique sites:
Cd (0.000, 0.000, 0.000) (multiplicity 4)
P (0.000, 0.000, 0.500) (multiplicity 4)
N (0.084, 0.250, 0.625) (multiplicity 8)


Bottom line: two, by a margin of 156.5 kJ/mol of atoms.


one:
CdTePN2: optimized geometry, GGA-PBE.

Cell: 3.749 3.749 5.972 Å, 90.00 90.00 90.00°
Space group P4/mmm (No. 123)
Unique sites:
Cd (0.000, 0.000, 0.000) (multiplicity 1)
Te (0.500, 0.500, 0.000) (multiplicity 1)
P (0.500, 0.500, 0.500) (multiplicity 1)
N (0.000, 0.500, 0.500) (multiplicity 2)


two:
CdTePN2: optimized geometry, GGA-PBE.

Cell: 4.177 4.177 6.658 Å, 90.00 90.00 90.00°
Space group P4/mmm (No. 123)
Unique sites:
Cd (0.000, 0.000, 0.000) (multiplicity 1)
Te (0.000, 0.000, 0.500) (multiplicity 1)
P (0.500, 0.500, 0.500) (multiplicity 1)
N (0.000, 0.500, 0.000) (multiplicity 2)


Bottom line: one, by a margin of 76.4 kJ/mol of atoms.


one:
Cd3PbN: optimized geometry, GGA-PBE.

Cell: 5.652 5.652 5.652 Å, 90.00 90.00 90.00°
Space group Pm-3m (No. 221)
Unique sites:
Cd (0.000, 0.000, 0.500) (multiplicity 3)
Pb (0.000, 0.000, 0.000) (multiplicity 1)
N (0.500, 0.500, 0.500) (multiplicity 1)


two:
Cd3PbN: optimized geometry, GGA-PBE.

Cell: 4.752 4.752 4.752 Å, 90.00 90.00 90.00°
Space group Pm-3m (No. 221)
Unique sites:
Cd (0.000, 0.000, 0.500) (multiplicity 3)
Pb (0.500, 0.500, 0.500) (multiplicity 1)
N (0.000, 0.000, 0.000) (multiplicity 1)


Bottom line: two, by a margin of 107.7 kJ/mol of atoms.


one:
CdPb3N: optimized geometry, GGA-PBE.

Cell: 5.576 5.576 5.576 Å, 90.00 90.00 90.00°
Space group Pm-3m (No. 221)
Unique sites:
Cd (0.000, 0.000, 0.000) (multiplicity 1)
Pb (0.000, 0.000, 0.500) (multiplicity 3)
N (0.500, 0.500, 0.500) (multiplicity 1)


two:
CdPb3N: optimized geometry, GGA-PBE.

Cell: 5.089 5.089 5.089 Å, 90.00 90.00 90.00°
Space group Pm-3m (No. 221)
Unique sites:
Cd (0.000, 0.000, 0.000) (multiplicity 1)
Pb (0.000, 0.500, 0.500) (multiplicity 3)
N (0.500, 0.500, 0.500) (multiplicity 1)


Bottom line: two, by a margin of 103.1 kJ/mol of atoms.


one:
CdPb2N2: optimized geometry, GGA-PBE.

Cell: 7.281 7.281 3.651 Å, 90.00 90.00 90.00°
Space group P4/mbm (No. 127)
Unique sites:
Cd (0.000, 0.000, 0.000) (multiplicity 2)
Pb (0.152, 0.348, 0.500) (multiplicity 4)
N (0.205, 0.705, 0.000) (multiplicity 4)


two:
CdPb2N2: optimized geometry, GGA-PBE.

Cell: 10.857 3.670 12.707 Å, 90.00 90.00 90.00°
Space group Pnma (No. 62)
Unique sites:
Cd (0.205, 0.250, 0.139) (multiplicity 4)
Pb (0.096, 0.750, 0.382) (multiplicity 4)
Pb (0.124, 0.750, 0.896) (multiplicity 4)
N (0.194, 0.250, 0.302) (multiplicity 4)
N (0.219, 0.250, 0.977) (multiplicity 4)


Bottom line: two, by a margin of 43.5 kJ/mol of atoms.


one:
CdPb2N2: optimized geometry, GGA-PBE.

Cell: 3.409 3.505 14.427 Å, 89.35 88.90 60.93°
Space group P-1 (No. 2)
Unique sites:
Cd (0.000, 0.000, 0.000) (multiplicity 1)
Pb (0.486, 0.998, 0.182) (multiplicity 2)
N (0.036, 0.001, 0.462) (multiplicity 2)


two:
CdPb2N2: optimized geometry, GGA-PBE.

Cell: 4.906 4.906 11.522 Å, 90.00 90.00 90.00°
Space group I4/mmm (No. 139)
Unique sites:
Cd (0.000, 0.000, 0.000) (multiplicity 2)
Pb (0.000, 0.500, 0.250) (multiplicity 4)
N (0.000, 0.000, 0.181) (multiplicity 4)


Bottom line: one, by a margin of 64.8 kJ/mol of atoms.


one:
CdPb2N: optimized geometry, GGA-PBE.

Cell: 7.256 7.256 7.646 Å, 90.00 90.00 90.00°
Space group I-42d (No. 122)
Unique sites:
Cd (0.000, 0.000, 0.000) (multiplicity 4)
Pb (0.168, 0.250, 0.625) (multiplicity 8)
N (0.000, 0.000, 0.500) (multiplicity 4)


two:
CdPb2N: optimized geometry, GGA-PBE.

Cell: 7.143 7.143 7.143 Å, 90.00 90.00 90.00°
Space group Fm-3m (No. 225)
Unique sites:
Cd (0.000, 0.000, 0.000) (multiplicity 4)
Pb (0.250, 0.250, 0.250) (multiplicity 8)
N (0.000, 0.000, 0.500) (multiplicity 4)


Bottom line: one, by a margin of 44.4 kJ/mol of atoms.


one:
CdPbS2N: optimized geometry, GGA-PBE.

Cell: 5.158 5.158 4.257 Å, 90.00 90.00 90.00°
Space group P4/mmm (No. 123)
Unique sites:
Cd (0.000, 0.000, 0.000) (multiplicity 1)
Pb (0.500, 0.500, 0.500) (multiplicity 1)
S (0.000, 0.500, 0.000) (multiplicity 2)
N (0.000, 0.000, 0.500) (multiplicity 1)


two:
CdPbS2N: optimized geometry, GGA-PBE.

Cell: 5.279 5.279 4.410 Å, 90.00 90.00 90.00°
Space group P4/mmm (No. 123)
Unique sites:
Cd (0.000, 0.000, 0.000) (multiplicity 1)
Pb (0.500, 0.500, 0.500) (multiplicity 1)
S (0.000, 0.500, 0.500) (multiplicity 2)
N (0.500, 0.500, 0.000) (multiplicity 1)


Bottom line: one, by a margin of 23.8 kJ/mol of atoms.


one:
CdPbSe2N: optimized geometry, GGA-PBE.

Cell: 5.578 5.578 4.456 Å, 90.00 90.00 90.00°
Space group P4/mmm (No. 123)
Unique sites:
Cd (0.000, 0.000, 0.000) (multiplicity 1)
Pb (0.500, 0.500, 0.500) (multiplicity 1)
Se (0.000, 0.500, 0.500) (multiplicity 2)
N (0.500, 0.500, 0.000) (multiplicity 1)


two:
CdPbSe2N: optimized geometry, GGA-PBE.

Cell: 5.424 5.424 4.308 Å, 90.00 90.00 90.00°
Space group P4/mmm (No. 123)
Unique sites:
Cd (0.000, 0.000, 0.000) (multiplicity 1)
Pb (0.500, 0.500, 0.500) (multiplicity 1)
Se (0.000, 0.500, 0.000) (multiplicity 2)
N (0.000, 0.000, 0.500) (multiplicity 1)


Bottom line: two, by a margin of 24.2 kJ/mol of atoms.


one:
Cd2Pd2N: optimized geometry, GGA-PBE.

Cell: 3.582 3.582 14.429 Å, 90.00 90.00 90.00°
Space group I4/mmm (No. 139)
Unique sites:
Cd (0.000, 0.000, 0.095) (multiplicity 4)
Pd (0.000, 0.500, 0.250) (multiplicity 4)
N (0.000, 0.000, 0.500) (multiplicity 2)


two:
Cd2Pd2N: optimized geometry, GGA-PBE.

Cell: 6.147 6.147 4.481 Å, 90.00 90.00 90.00°
Space group P4/mbm (No. 127)
Unique sites:
Cd (0.161, 0.339, 0.000) (multiplicity 4)
Pd (0.157, 0.657, 0.500) (multiplicity 4)
N (0.000, 0.000, 0.000) (multiplicity 2)


Bottom line: two, by a margin of 20.9 kJ/mol of atoms.


one:
Cd3PdN: optimized geometry, GGA-PBE.

Cell: 4.533 4.533 4.533 Å, 90.00 90.00 90.00°
Space group Pm-3m (No. 221)
Unique sites:
Cd (0.000, 0.000, 0.500) (multiplicity 3)
Pd (0.500, 0.500, 0.500) (multiplicity 1)
N (0.000, 0.000, 0.000) (multiplicity 1)


two:
Cd3PdN: optimized geometry, GGA-PBE.

Cell: 5.243 5.243 5.243 Å, 90.00 90.00 90.00°
Space group Pm-3m (No. 221)
Unique sites:
Cd (0.000, 0.000, 0.500) (multiplicity 3)
Pd (0.000, 0.000, 0.000) (multiplicity 1)
N (0.500, 0.500, 0.500) (multiplicity 1)


Bottom line: one, by a margin of 58.3 kJ/mol of atoms.